A relaxed CeZr12Bi6 crystal, computed with PBE-GGA.

**E_form**: 0.1016 eV/atom
**V**: 1503 Å³ per cell
**E**: -389.60 eV per cell
**Size of the total moment**: 0.00 Bohr magnetons per cell

Lattice parameters (Å, degrees): 12.6452 12.6452 10.8525 90.00 90.00 120.00
Closest atoms and distances in Å follow each position.
Space group R-3 (No. 148, hexagonal axes)
Inequivalent atoms, fractional coordinates:
Ce: 0.0000 0.0000 0.0000 [3 per cell]  6 Zr 2.58
Zr: 0.0273 0.1591 0.3721 [18 per cell]  4 Bi 2.95-3.24, 3 Zr 3.09-3.23
Zr: 0.0752 0.1955 0.8706 [18 per cell]  1 Ce 2.58
Bi: 0.0327 0.2941 0.6282 [18 per cell]  7 Zr 2.94-3.24

=====

A relaxed CeZr3Bi2 crystal, computed with PBE-GGA.

**E_form**: -0.2774 eV/atom
**V**: 661 Å³ per cell
**E**: -164.02 eV per cell
**Size of the total moment**: 6.41 Bohr magnetons per cell

Lattice parameters (Å, degrees): 18.9607 4.1601 9.4304 90.00 117.25 90.00
Closest atoms and distances in Å follow each position.
Space group C2/m (No. 12)
Inequivalent atoms, fractional coordinates:
Ce: 0.1284 0.0000 0.0510 [4 per cell]  6 Bi 3.30-3.45
Zr: 0.0570 0.0000 0.4306 [4 per cell]  7 Zr 3.00-3.27, 3 Bi 3.00-3.22
Zr: 0.0929 0.5000 0.6960 [4 per cell]  3 Bi 3.00-3.09, 5 Zr 3.08-3.35
Zr: 0.1882 0.5000 0.4719 [4 per cell]  5 Zr 2.99-3.35, 4 Bi 3.03-3.24
Bi: 0.0272 0.5000 0.1803 [4 per cell]  4 Zr 3.00-3.03, 1 Bi 3.07
Bi: 0.2233 0.0000 0.7520 [4 per cell]  6 Zr 3.09-3.24, 2 Ce 3.30